Below is Pr5Nd3Dy2 after structural relaxation, with properties calculated at the PBE-GGA level.

Lattice parameters (Å, degrees): 10.1296 10.1296 10.1296 123.45 93.64 112.66
Fractional coordinates of all 20 atoms:
Pr (0.0009, 0.7500, 0.2509)
Pr (0.1225, 0.1026, 0.2251)
Pr (0.2500, 0.2500, 0.0000)
Pr (0.3775, 0.6026, 0.9801)
Pr (0.4991, 0.7500, 0.7491)
Pr (0.5009, 0.2500, 0.2509)
Pr (0.6225, 0.3974, 0.0199)
Pr (0.7500, 0.7500, 0.0000)
Pr (0.8775, 0.8974, 0.7749)
Pr (0.9991, 0.2500, 0.7491)
Nd (0.1254, 0.7502, 0.8756)
Nd (0.2500, 0.7500, 0.5000)
Nd (0.3746, 0.2502, 0.6248)
Nd (0.6254, 0.7498, 0.3752)
Nd (0.7500, 0.2500, 0.5000)
Nd (0.8746, 0.2498, 0.1244)
Dy (0.1243, 0.4147, 0.5390)
Dy (0.3757, 0.9147, 0.2904)
Dy (0.6243, 0.0853, 0.7096)
Dy (0.8757, 0.5853, 0.4610)

Output
The calculation puts the distance to the lowest polymorph of the same formula at 177 meV/atom. The space group is Ibam, No. 72.

Below is Pr10NdDy4 after structural relaxation, with properties calculated at the PBE-GGA level.

Lattice parameters (Å, degrees): 8.9944 8.9944 8.9944 111.54 111.54 105.42
Fractional coordinates of all 15 atoms:
Pr (0.0516, 0.9426, 0.6552)
Pr (0.0574, 0.7126, 0.1090)
Pr (0.2500, 0.7500, 0.5000)
Pr (0.2874, 0.3964, 0.3448)
Pr (0.3964, 0.0516, 0.1090)
Pr (0.6036, 0.9484, 0.8910)
Pr (0.7126, 0.6036, 0.6552)
Pr (0.7500, 0.2500, 0.5000)
Pr (0.9426, 0.2874, 0.8910)
Pr (0.9484, 0.0574, 0.3448)
Nd (0.0000, 0.0000, 0.0000)
Dy (0.2245, 0.5566, 0.7811)
Dy (0.4434, 0.2245, 0.6679)
Dy (0.5566, 0.7755, 0.3322)
Dy (0.7755, 0.4434, 0.2189)

Output
The space group is I4/m, No. 87.

Below is Pr6NdDy after structural relaxation, with properties calculated at the PBE-GGA level.

Lattice parameters (Å, degrees): 9.0338 8.2644 6.3828 74.93 62.05 43.02
Fractional coordinates of all 8 atoms:
Pr (0.1235, 0.1235, 0.3765)
Pr (0.2494, 0.2494, 0.7506)
Pr (0.3765, 0.3765, 0.1235)
Pr (0.6235, 0.6235, 0.8765)
Pr (0.7506, 0.7506, 0.2494)
Pr (0.8765, 0.8765, 0.6235)
Nd (0.5000, 0.5000, 0.5000)
Dy (0.0000, 0.0000, 0.0000)

Output
The space group is Fmmm, No. 69.

Below is Pr2Nd5Dy3 after structural relaxation, with properties calculated at the PBE-GGA level.

Lattice parameters (Å, degrees): 9.5392 9.5392 9.8150 108.80 108.80 109.38
Fractional coordinates of all 20 atoms:
Pr (0.0236, 0.2684, 0.0542)
Pr (0.2684, 0.0236, 0.5542)
Pr (0.7316, 0.9764, 0.4458)
Pr (0.9764, 0.7316, 0.9458)
Nd (0.1471, 0.3831, 0.7746)
Nd (0.2296, 0.7704, 0.7500)
Nd (0.2682, 0.7318, 0.2500)
Nd (0.3831, 0.1471, 0.2746)
Nd (0.4683, 0.5317, 0.2500)
Nd (0.5317, 0.4683, 0.7500)
Nd (0.6169, 0.8529, 0.7254)
Nd (0.7318, 0.2682, 0.7500)
Nd (0.7704, 0.2296, 0.2500)
Nd (0.8529, 0.6169, 0.2254)
Dy (0.0229, 0.9771, 0.7500)
Dy (0.2214, 0.4640, 0.4529)
Dy (0.4640, 0.2214, 0.9529)
Dy (0.5360, 0.7786, 0.0471)
Dy (0.7786, 0.5360, 0.5471)
Dy (0.9771, 0.0229, 0.2500)

Output
The calculation puts the distance to the lowest polymorph of the same formula at 0 meV/atom. The space group is C2/c, No. 15.

Below is Pr7NdDy3 after structural relaxation, with properties calculated at the PBE-GGA level.

Lattice parameters (Å, degrees): 7.8777 7.8777 6.4981 94.59 94.59 81.85
Fractional coordinates of all 11 atoms:
Pr (0.0000, 0.0000, 0.0000)
Pr (0.0768, 0.4278, 0.2605)
Pr (0.2652, 0.2652, 0.7860)
Pr (0.4278, 0.0768, 0.2605)
Pr (0.5722, 0.9232, 0.7395)
Pr (0.7348, 0.7348, 0.2140)
Pr (0.9232, 0.5722, 0.7395)
Nd (0.0000, 0.0000, 0.5000)
Dy (0.3316, 0.6684, 0.0000)
Dy (0.5000, 0.5000, 0.5000)
Dy (0.6684, 0.3316, 0.0000)

Output
The calculation puts the distance to the lowest polymorph of the same formula at 37 meV/atom. The space group is C2/m, No. 12.

Below is Pr2NdDy2 after structural relaxation, with properties calculated at the PBE-GGA level.

Lattice parameters (Å, degrees): 8.0089 8.0089 6.4258 100.71 100.71 113.98
Fractional coordinates of all 10 atoms:
Pr (0.1150, 0.2397, 0.4214)
Pr (0.2397, 0.1150, 0.9214)
Pr (0.7603, 0.8850, 0.0786)
Pr (0.8850, 0.7603, 0.5786)
Nd (0.4277, 0.5723, 0.2500)
Nd (0.5723, 0.4277, 0.7500)
Dy (0.1797, 0.8203, 0.2500)
Dy (0.3009, 0.6991, 0.7500)
Dy (0.6991, 0.3009, 0.2500)
Dy (0.8203, 0.1797, 0.7500)

Output
The calculation puts the distance to the lowest polymorph of the same formula at 216 meV/atom. The space group is C2/c, No. 15.

Below is Pr2NdDy after structural relaxation, with properties calculated at the PBE-GGA level.

Lattice parameters (Å, degrees): 5.1844 5.1844 5.1651 90.00 90.00 90.00
Fractional coordinates of all 4 atoms:
Pr (0.0000, 0.5000, 0.0000)
Pr (0.5000, 0.0000, 0.0000)
Nd (0.0000, 0.0000, 0.5000)
Dy (0.5000, 0.5000, 0.5000)

Output
The calculation puts the distance to the lowest polymorph of the same formula at 0 meV/atom. The space group is P4/mmm, No. 123.

Below is Pr2Nd5Dy4 after structural relaxation, with properties calculated at the PBE-GGA level.

Lattice parameters (Å, degrees): 12.0731 12.0731 8.9183 104.21 104.21 17.32
Fractional coordinates of all 11 atoms:
Pr (0.0895, 0.0895, 0.2230)
Pr (0.9105, 0.9105, 0.7770)
Nd (0.0000, 0.0000, 0.5000)
Nd (0.2731, 0.2731, 0.6870)
Nd (0.3633, 0.3633, 0.4054)
Nd (0.6367, 0.6367, 0.5946)
Nd (0.7269, 0.7269, 0.3130)
Dy (0.1820, 0.1820, 0.9544)
Dy (0.4531, 0.4531, 0.1354)
Dy (0.5469, 0.5469, 0.8646)
Dy (0.8180, 0.8180, 0.0456)

Output
The calculation puts the distance to the lowest polymorph of the same formula at 0 meV/atom. The space group is C2/m, No. 12.

Below is Pr3Nd2Dy2 after structural relaxation, with properties calculated at the PBE-GGA level.

Lattice parameters (Å, degrees): 9.0691 9.0691 8.7952 118.14 118.14 22.67
Fractional coordinates of all 7 atoms:
Pr (0.0000, 0.0000, 0.0000)
Pr (0.2135, 0.2135, 0.3042)
Pr (0.7865, 0.7865, 0.6958)
Nd (0.1441, 0.1441, 0.8219)
Nd (0.8559, 0.8559, 0.1781)
Dy (0.4362, 0.4362, 0.5940)
Dy (0.5638, 0.5638, 0.4060)

Output
The calculation puts the distance to the lowest polymorph of the same formula at 87 meV/atom. The space group is C2/m, No. 12.

Below is Pr3Nd3Dy8 after structural relaxation, with properties calculated at the PBE-GGA level.

Lattice parameters (Å, degrees): 9.8062 9.8062 9.8062 146.08 113.03 77.22
Fractional coordinates of all 14 atoms:
Pr (0.0000, 0.0000, 0.0000)
Pr (0.3048, 0.0000, 0.3048)
Pr (0.6952, 0.0000, 0.6952)
Nd (0.3121, 0.8121, 0.5000)
Nd (0.5000, 0.5000, 0.0000)
Nd (0.6879, 0.1879, 0.5000)
Dy (0.0578, 0.3975, 0.6604)
Dy (0.0587, 0.2202, 0.8385)
Dy (0.2629, 0.6025, 0.6604)
Dy (0.3817, 0.2202, 0.1615)
Dy (0.6183, 0.7798, 0.8385)
Dy (0.7371, 0.3975, 0.3396)
Dy (0.9413, 0.7798, 0.1615)
Dy (0.9422, 0.6025, 0.3396)

Output
The calculation puts the distance to the lowest polymorph of the same formula at 4 meV/atom. The space group is Immm, No. 71.

Below is Pr5Nd2Dy2 after structural relaxation, with properties calculated at the PBE-GGA level.

Lattice parameters (Å, degrees): 10.2768 10.2768 10.2768 85.11 108.31 140.45
Fractional coordinates of all 18 atoms:
Pr (0.0598, 0.0526, 0.5072)
Pr (0.0689, 0.4782, 0.8768)
Pr (0.0689, 0.6921, 0.0907)
Pr (0.2465, 0.0532, 0.2997)
Pr (0.2465, 0.4468, 0.6934)
Pr (0.5455, 0.5526, 0.4928)
Pr (0.6014, 0.1921, 0.1232)
Pr (0.6014, 0.9782, 0.9093)
Pr (0.7535, 0.5532, 0.3066)
Pr (0.7535, 0.9468, 0.7003)
Nd (0.1521, 0.2824, 0.1222)
Nd (0.1521, 0.5299, 0.3698)
Nd (0.1602, 0.0299, 0.8778)
Nd (0.1602, 0.7824, 0.6302)
Dy (0.6050, 0.8629, 0.2422)
Dy (0.6207, 0.3629, 0.7578)
Dy (0.6754, 0.1754, 0.5000)
Dy (0.6754, 0.6754, 0.0000)

Output
The calculation puts the distance to the lowest polymorph of the same formula at 186 meV/atom. The space group is Ima2, No. 46.

Below is Pr16Nd7Dy6 after structural relaxation, with properties calculated at the PBE-GGA level.

Lattice parameters (Å, degrees): 11.4741 11.4741 11.4741 60.00 60.00 60.00
Fractional coordinates of all 29 atoms:
Pr (0.0489, 0.6504, 0.6504)
Pr (0.1256, 0.1256, 0.1256)
Pr (0.1256, 0.1256, 0.6233)
Pr (0.1256, 0.6233, 0.1256)
Pr (0.3496, 0.3496, 0.3496)
Pr (0.3496, 0.3496, 0.9511)
Pr (0.3496, 0.9511, 0.3496)
Pr (0.3767, 0.8744, 0.8744)
Pr (0.6233, 0.1256, 0.1256)
Pr (0.6504, 0.0489, 0.6504)
Pr (0.6504, 0.6504, 0.0489)
Pr (0.6504, 0.6504, 0.6504)
Pr (0.8744, 0.3767, 0.8744)
Pr (0.8744, 0.8744, 0.3767)
Pr (0.8744, 0.8744, 0.8744)
Pr (0.9511, 0.3496, 0.3496)
Nd (0.0000, 0.0000, 0.0000)
Nd (0.0000, 0.0000, 0.5000)
Nd (0.0000, 0.5000, 0.0000)
Nd (0.0000, 0.5000, 0.5000)
Nd (0.5000, 0.0000, 0.0000)
Nd (0.5000, 0.0000, 0.5000)
Nd (0.5000, 0.5000, 0.0000)
Dy (0.2635, 0.2635, 0.7365)
Dy (0.2635, 0.7365, 0.2635)
Dy (0.2635, 0.7365, 0.7365)
Dy (0.7365, 0.2635, 0.2635)
Dy (0.7365, 0.2635, 0.7365)
Dy (0.7365, 0.7365, 0.2635)

Output
The space group is Fm-3m, No. 225.

Going through the records in order, we get DFT total energy values of -44.0, -64.6, -37.9, -45.4, -49.6, -22.2, -18.9, -51.6, -32.4, -63.9, -40.8, -131.2 eV/f.u..
Going through the records in order, we get ΔH_f (0 K) values of 0.344, 0.425, 0.015, 0.180, 0.220, 0.269, 0.015, 0.019, 0.098, 0.110, 0.201, 0.217 eV per atom.